Record 1
This record from Alexandria via LeMat-Bulk describes a crystal of Sc5Ir3 relaxed with PBEsol. The functional is SCAN.

## Properties
E = -36.48 eV/atom
ΔH_f (0 K) = -922 meV per atom
Total moment = 0.0 μB per formula unit
Energy relative to the lowest polymorph listed for this composition = 78 meV per atom

```
data_Sc5Ir3
_chemical_formula_sum 'Sc10 Ir6'
_space_group_name_H-M_alt 'C m m m'
_space_group_IT_number 65
_space_group_name_Hall '-C 2 2'
_cell_length_a 6.731
_cell_length_b 9.172
_cell_length_c 4.504
_cell_angle_alpha 90.00
_cell_angle_beta 90.00
_cell_angle_gamma 90.00
loop_
_atom_site_label
_atom_site_type_symbol
_atom_site_fract_x
_atom_site_fract_y
_atom_site_fract_z
Sc1 Sc 0.000 0.000 0.000
Sc2 Sc 0.226 0.500 0.500
Sc3 Sc 0.250 0.250 0.000
Ir1 Ir 0.000 0.230 0.500
Ir2 Ir 0.000 0.500 0.000
```


Record 2
This record from Alexandria via LeMat-Bulk describes a crystal of Re3RhN relaxed with PBEsol. The functional is SCAN.

## Properties
E = -50.99 eV/atom
Total moment = 0.0 μB per formula unit
Formation energy without anion corrections = 0.284 eV per atom

```
data_Re3RhN
_chemical_formula_sum 'Re3 Rh1 N1'
_space_group_name_H-M_alt 'P m -3 m'
_space_group_IT_number 221
_space_group_name_Hall '-P 4 2 3'
_cell_length_a 4.004
_cell_length_b 4.004
_cell_length_c 4.004
_cell_angle_alpha 90.00
_cell_angle_beta 90.00
_cell_angle_gamma 90.00
loop_
_atom_site_label
_atom_site_type_symbol
_atom_site_fract_x
_atom_site_fract_y
_atom_site_fract_z
Re1 Re 0.000 0.000 0.500
Rh1 Rh 0.500 0.500 0.500
N1 N 0.000 0.000 0.000
```


Record 3
This record from Alexandria via LeMat-Bulk describes a crystal of AgPtW2 relaxed with PBEsol. The functional is SCAN.

## Properties
E = -59.91 eV/atom
ΔH_f (0 K) = 320 meV per atom
Total moment = 0.0 μB per formula unit
Energy relative to the lowest polymorph listed for this composition = 87 meV per atom

```
data_AgPtW2
_chemical_formula_sum 'Ag3 Pt3 W6'
_space_group_name_H-M_alt 'R -3 m'
_space_group_IT_number 166
_space_group_name_Hall '-R 3 2"'
_cell_length_a 2.7693
_cell_length_b 2.7693
_cell_length_c 28.1566
_cell_angle_alpha 90.00
_cell_angle_beta 90.00
_cell_angle_gamma 120.00
loop_
_atom_site_label
_atom_site_type_symbol
_atom_site_fract_x
_atom_site_fract_y
_atom_site_fract_z
Ag1 Ag 0.0000 0.0000 0.0000
Pt1 Pt 0.0000 0.0000 0.5000
W1 W 0.0000 0.0000 0.2471
```


Record 4
This record from Alexandria via LeMat-Bulk describes a crystal of KZrTa2 relaxed with PBEsol. The functional is SCAN.

## Properties
E = -42.25 eV/atom
ΔH_f (0 K) = 800 meV per atom
Total moment = 0.0 μB per formula unit
Energy relative to the lowest polymorph listed for this composition = 0 meV per atom

```
data_KZrTa2
_chemical_formula_sum 'K2 Zr2 Ta4'
_space_group_name_H-M_alt 'C 1 m 1'
_space_group_IT_number 8
_space_group_name_Hall 'C -2y'
_cell_length_a 9.020
_cell_length_b 2.921
_cell_length_c 7.937
_cell_angle_alpha 90.00
_cell_angle_beta 92.36
_cell_angle_gamma 90.00
loop_
_atom_site_label
_atom_site_type_symbol
_atom_site_fract_x
_atom_site_fract_y
_atom_site_fract_z
K1 K 0.000 0.000 0.000
Zr1 Zr 0.264 0.500 0.352
Ta1 Ta 0.002 0.500 0.529
Ta2 Ta 0.239 0.000 0.675
```


Record 5
This record from Alexandria via LeMat-Bulk describes a crystal of Tc2Se relaxed with PBEsol. The functional is SCAN.

## Properties
E = -29.91 eV/atom
Total moment = 0.0 μB per formula unit
Formation energy without anion corrections = 0.159 eV per atom
Energy relative to the lowest polymorph listed for this composition = 0 meV per atom

```
data_Tc2Se
_chemical_formula_sum 'Tc8 Se4'
_space_group_name_H-M_alt 'C 1 m 1'
_space_group_IT_number 8
_space_group_name_Hall 'C -2y'
_cell_length_a 9.216
_cell_length_b 2.940
_cell_length_c 7.474
_cell_angle_alpha 90.00
_cell_angle_beta 116.19
_cell_angle_gamma 90.00
loop_
_atom_site_label
_atom_site_type_symbol
_atom_site_fract_x
_atom_site_fract_y
_atom_site_fract_z
Tc1 Tc 0.000 0.000 0.000
Tc2 Tc 0.029 0.000 0.643
Tc3 Tc 0.071 0.500 0.360
Tc4 Tc 0.320 0.000 0.690
Se1 Se 0.196 0.500 0.927
Se2 Se 0.283 0.000 0.339
```


Record 6
This record from Alexandria via LeMat-Bulk describes a crystal of MnAl2Se relaxed with PBEsol. The functional is SCAN.

## Properties
E = -13.44 eV/atom
Total moment = 0.0 μB per formula unit
Formation energy without anion corrections = 0.015 eV per atom

```
data_MnAl2Se
_chemical_formula_sum 'Mn1 Al2 Se1'
_space_group_name_H-M_alt 'P 4 m m'
_space_group_IT_number 99
_space_group_name_Hall 'P 4 -2'
_cell_length_a 2.875
_cell_length_b 2.875
_cell_length_c 7.348
_cell_angle_alpha 90.00
_cell_angle_beta 90.00
_cell_angle_gamma 90.00
loop_
_atom_site_label
_atom_site_type_symbol
_atom_site_fract_x
_atom_site_fract_y
_atom_site_fract_z
Mn1 Mn 0.000 0.000 0.000
Al1 Al 0.000 0.000 0.510
Al2 Al 0.500 0.500 0.780
Se1 Se 0.500 0.500 0.171
```


Record 7
This record from Alexandria via LeMat-Bulk describes a crystal of BaPtSeN2 relaxed with PBEsol. The functional is SCAN.

## Properties
E = -27.55 eV/atom
Total moment = 2.5 μB per formula unit
Formation energy without anion corrections = 2.133 eV per atom
Energy relative to the lowest polymorph listed for this composition = 1839 meV per atom

```
data_BaPtSeN2
_chemical_formula_sum 'Ba1 Pt1 Se1 N2'
_space_group_name_H-M_alt 'P 4/m m m'
_space_group_IT_number 123
_space_group_name_Hall '-P 4 2'
_cell_length_a 4.251
_cell_length_b 4.251
_cell_length_c 6.456
_cell_angle_alpha 90.00
_cell_angle_beta 90.00
_cell_angle_gamma 90.00
loop_
_atom_site_label
_atom_site_type_symbol
_atom_site_fract_x
_atom_site_fract_y
_atom_site_fract_z
Ba1 Ba 0.000 0.000 0.000
Pt1 Pt 0.500 0.500 0.500
Se1 Se 0.000 0.000 0.500
N1 N 0.000 0.500 0.000
```


Record 8
This record from Alexandria via LeMat-Bulk describes a crystal of Ti2TlPdBr relaxed with PBEsol. The functional is SCAN.

## Properties
E = -30.54 eV/atom
Total moment = 3.2 μB per formula unit
Formation energy without anion corrections = 0.790 eV per atom
Energy relative to the lowest polymorph listed for this composition = 9 meV per atom

```
data_Ti2TlPdBr
_chemical_formula_sum 'Ti2 Tl1 Pd1 Br1'
_space_group_name_H-M_alt 'P 4/m m m'
_space_group_IT_number 123
_space_group_name_Hall '-P 4 2'
_cell_length_a 5.185
_cell_length_b 5.185
_cell_length_c 4.937
_cell_angle_alpha 90.00
_cell_angle_beta 90.00
_cell_angle_gamma 90.00
loop_
_atom_site_label
_atom_site_type_symbol
_atom_site_fract_x
_atom_site_fract_y
_atom_site_fract_z
Ti1 Ti 0.000 0.500 0.000
Tl1 Tl 0.000 0.000 0.000
Pd1 Pd 0.000 0.000 0.500
Br1 Br 0.500 0.500 0.500
```


Record 9
This record from Alexandria via LeMat-Bulk describes a crystal of Er2ZnIn relaxed with PBEsol. The functional is SCAN.

## Properties
E = -37.40 eV/atom
ΔH_f (0 K) = -509 meV per atom
Total moment = 0.0 μB per formula unit

```
data_Er2ZnIn
_chemical_formula_sum 'Er8 Zn4 In4'
_space_group_name_H-M_alt 'F m -3 m'
_space_group_IT_number 225
_space_group_name_Hall '-F 4 2 3'
_cell_length_a 7.159
_cell_length_b 7.159
_cell_length_c 7.159
_cell_angle_alpha 90.00
_cell_angle_beta 90.00
_cell_angle_gamma 90.00
loop_
_atom_site_label
_atom_site_type_symbol
_atom_site_fract_x
_atom_site_fract_y
_atom_site_fract_z
Er1 Er 0.250 0.250 0.250
Zn1 Zn 0.000 0.000 0.000
In1 In 0.000 0.000 0.500
```


Record 10
This record from Alexandria via LeMat-Bulk describes a crystal of ScTl2Fe relaxed with PBEsol. The functional is SCAN.

## Properties
E = -44.19 eV/atom
ΔH_f (0 K) = 78 meV per atom
Total moment = 3.0 μB per formula unit

```
data_ScTl2Fe
_chemical_formula_sum 'Sc1 Tl2 Fe1'
_space_group_name_H-M_alt 'P 4/m m m'
_space_group_IT_number 123
_space_group_name_Hall '-P 4 2'
_cell_length_a 3.355
_cell_length_b 3.355
_cell_length_c 6.851
_cell_angle_alpha 90.00
_cell_angle_beta 90.00
_cell_angle_gamma 90.00
loop_
_atom_site_label
_atom_site_type_symbol
_atom_site_fract_x
_atom_site_fract_y
_atom_site_fract_z
Sc1 Sc 0.000 0.000 0.000
Tl1 Tl 0.500 0.500 0.277
Fe1 Fe 0.000 0.000 0.500
```


Record 11
This record from Alexandria via LeMat-Bulk describes a crystal of BeTcAs relaxed with PBEsol. The functional is SCAN.

## Properties
E = -20.27 eV/atom
ΔH_f (0 K) = -403 meV per atom
Total moment = 0.0 μB per formula unit
Energy relative to the lowest polymorph listed for this composition = 0 meV per atom

```
data_BeTcAs
_chemical_formula_sum 'Be2 Tc2 As2'
_space_group_name_H-M_alt 'I 4 m m'
_space_group_IT_number 107
_space_group_name_Hall 'I 4 -2'
_cell_length_a 3.077
_cell_length_b 3.077
_cell_length_c 7.688
_cell_angle_alpha 90.00
_cell_angle_beta 90.00
_cell_angle_gamma 90.00
loop_
_atom_site_label
_atom_site_type_symbol
_atom_site_fract_x
_atom_site_fract_y
_atom_site_fract_z
Be1 Be 0.000 0.000 0.000
Tc1 Tc 0.000 0.000 0.663
As1 As 0.000 0.000 0.330
```


What did the eleventh record say?
This record from Alexandria via LeMat-Bulk describes a crystal of BeTcAs relaxed with PBEsol. The functional is SCAN.

## Properties
E = -20.27 eV/atom
ΔH_f (0 K) = -403 meV per atom
Total moment = 0.0 μB per formula unit
Energy relative to the lowest polymorph listed for this composition = 0 meV per atom

```
data_BeTcAs
_chemical_formula_sum 'Be2 Tc2 As2'
_space_group_name_H-M_alt 'I 4 m m'
_space_group_IT_number 107
_space_group_name_Hall 'I 4 -2'
_cell_length_a 3.077
_cell_length_b 3.077
_cell_length_c 7.688
_cell_angle_alpha 90.00
_cell_angle_beta 90.00
_cell_angle_gamma 90.00
loop_
_atom_site_label
_atom_site_type_symbol
_atom_site_fract_x
_atom_site_fract_y
_atom_site_fract_z
Be1 Be 0.000 0.000 0.000
Tc1 Tc 0.000 0.000 0.663
As1 As 0.000 0.000 0.330
```


> The lowest E belongs to which entry?

AgPtW2